Here is a relaxed La3Te4Br crystal from the Alexandria database. Energies are from PBEsol.

```
32
Lattice="16.1993 0.0000 0.0000 0.0000 4.3378 0.0000 0.0000 0.0000 14.1676" Properties=species:S:1:pos:R:3 pbc="T T T"
La 1.9199 1.0845 3.5295
La 2.0459 3.2534 8.3693
La 2.1588 1.0845 13.1174
La 5.9409 3.2534 6.0336
La 6.0537 1.0845 1.2855
La 6.1797 3.2534 10.6133
La 10.0195 1.0845 3.5543
La 10.1456 3.2534 12.8822
La 10.2584 1.0845 8.1341
La 14.0405 3.2534 1.0502
La 14.1533 1.0845 5.7984
La 14.2794 3.2534 10.6381
Te 0.3918 3.2534 5.4907
Te 1.1751 3.2534 1.1430
Te 3.5076 1.0845 6.3996
Te 3.7732 1.0845 10.2325
Te 4.3265 3.2534 3.1487
Te 4.5920 3.2534 13.4835
Te 6.9245 1.0845 8.2269
Te 7.7079 1.0845 12.5745
Te 8.4914 3.2534 1.5931
Te 9.2748 3.2534 5.9408
Te 11.6072 1.0845 0.6842
Te 11.8728 1.0845 11.0190
Te 12.4261 3.2534 3.9352
Te 12.6917 3.2534 7.7680
Te 15.0242 1.0845 13.0246
Te 15.8075 1.0845 8.6769
Br 1.1009 3.2534 11.2923
Br 6.9988 1.0845 4.2085
Br 9.2005 3.2534 9.9592
Br 15.0984 1.0845 2.8753
```

Values from the calculation:
Volume   31.1 Å³/atom
Space group   Pnma, No. 62
Formation energy without anion corrections   -1.67 eV/atom